Run 1
The following is a PBE calculation of a geometry-optimized LaSiPd3 structure, from Alexandria.

Total moment, μB/f.u.: 0.00
Crystal system: cubic

extended XYZ file:
```
5
Lattice="4.675 0.000 0.000 0.000 4.675 0.000 0.000 0.000 4.675" Properties=species:S:1:pos:R:3 pbc="T T T"
La 0.000 0.000 0.000
Si 2.337 2.337 2.337
Pd 0.000 2.337 2.337
Pd 2.337 0.000 2.337
Pd 2.337 2.337 0.000
```


Run 2
The following is a PBE calculation of a geometry-optimized LaSiPd3 structure, from Alexandria.

Total moment, μB/f.u.: 0.00
Crystal system: orthorhombic

extended XYZ file:
```
10
Lattice="-2.797 4.445 4.009 2.797 -4.445 4.009 2.797 4.445 -4.009" Properties=species:S:1:pos:R:3 pbc="T T T"
La 0.000 2.223 0.248
La 2.797 2.223 3.761
Si 2.797 0.000 0.000
Si 0.000 0.000 4.009
Pd 2.797 2.223 -1.011
Pd 1.399 4.434 -2.005
Pd 1.399 -0.011 2.005
Pd -1.399 4.456 2.005
Pd 1.399 4.456 2.005
Pd 0.000 2.223 5.020
```


Run 3
The following is a PBE calculation of a geometry-optimized LaSiPd3 structure, from Alexandria.

Total moment, μB/f.u.: 0.00
Crystal system: cubic

extended XYZ file:
```
5
Lattice="5.128 0.000 0.000 0.000 5.128 0.000 0.000 0.000 5.128" Properties=species:S:1:pos:R:3 pbc="T T T"
La 0.000 0.000 0.000
Si 2.564 2.564 2.564
Pd 0.000 0.000 2.564
Pd 0.000 2.564 0.000
Pd 2.564 0.000 0.000
```


Winner for stability: run 2


Run 1
The following is a PBE calculation of a geometry-optimized La2SmPd structure, from Alexandria.

Total moment, μB/f.u.: 0.00
Crystal system: trigonal

extended XYZ file:
```
12
Lattice="3.959 0.000 0.000 -1.980 3.429 0.000 0.000 0.000 28.908" Properties=species:S:1:pos:R:3 pbc="T T T"
La 0.000 0.000 0.000
La 0.000 0.000 5.864
La 0.000 2.286 19.272
La 0.000 2.286 25.136
La 1.980 1.143 9.636
La 1.980 1.143 15.500
Sm 0.000 0.000 22.221
Sm 0.000 2.286 12.585
Sm 1.980 1.143 2.949
Pd 0.000 0.000 17.385
Pd 0.000 2.286 7.749
Pd 1.980 1.143 27.021
```


Run 2
The following is a PBE calculation of a geometry-optimized La2SmPd structure, from Alexandria.

Total moment, μB/f.u.: 0.00
Crystal system: tetragonal

extended XYZ file:
```
4
Lattice="3.762 0.000 0.000 0.000 3.762 0.000 0.000 0.000 8.536" Properties=species:S:1:pos:R:3 pbc="T T T"
La 0.000 0.000 1.742
La 0.000 0.000 6.794
Sm 1.881 1.881 4.268
Pd 1.881 1.881 0.000
```


Run 3
The following is a PBE calculation of a geometry-optimized La2SmPd structure, from Alexandria.

Total moment, μB/f.u.: 0.00
Crystal system: trigonal

extended XYZ file:
```
12
Lattice="3.910 0.000 0.000 -1.955 3.387 0.000 0.000 0.000 29.475" Properties=species:S:1:pos:R:3 pbc="T T T"
La 0.000 0.000 6.832
La 0.000 0.000 22.643
La 0.000 2.258 12.818
La 0.000 2.258 26.482
La 1.955 1.129 2.993
La 1.955 1.129 16.657
Sm 0.000 0.000 0.000
Sm 0.000 2.258 19.650
Sm 1.955 1.129 9.825
Pd 0.000 0.000 14.738
Pd 0.000 2.258 4.913
Pd 1.955 1.129 24.563
```


Winner for stability: run 2


Run 1
The following is a PBE calculation of a geometry-optimized LaSnPd6 structure, from Alexandria.

Total moment, μB/f.u.: 0.00
Crystal system: trigonal

extended XYZ file:
```
8
Lattice="2.767 1.597 6.876 -2.767 1.597 6.876 0.000 -3.195 6.876" Properties=species:S:1:pos:R:3 pbc="T T T"
La 0.000 0.000 0.000
Sn 0.000 0.000 10.314
Pd -1.416 -0.817 8.248
Pd 0.000 -1.635 12.379
Pd -1.416 0.817 12.379
Pd 1.416 -0.817 8.248
Pd 0.000 1.635 8.248
Pd 1.416 0.817 12.379
```


Run 2
The following is a PBE calculation of a geometry-optimized LaSnPd6 structure, from Alexandria.

Total moment, μB/f.u.: 0.00
Crystal system: tetragonal

extended XYZ file:
```
8
Lattice="4.175 0.000 0.000 0.000 4.175 0.000 0.000 0.000 8.141" Properties=species:S:1:pos:R:3 pbc="T T T"
La 0.000 0.000 0.000
Sn 0.000 0.000 4.070
Pd 0.000 2.088 2.162
Pd 0.000 2.088 5.979
Pd 2.088 0.000 2.162
Pd 2.088 0.000 5.979
Pd 2.088 2.088 0.000
Pd 2.088 2.088 4.070
```


Winner for stability: run 2


Run 1
The following is a PBE calculation of a geometry-optimized LaSnPd4 structure, from Alexandria.

Total moment, μB/f.u.: 0.00
Crystal system: monoclinic

extended XYZ file:
```
12
Lattice="5.507 -3.660 0.000 5.507 3.660 0.000 -1.538 0.000 6.125" Properties=species:S:1:pos:R:3 pbc="T T T"
La 1.467 0.000 1.584
La 8.009 0.000 4.541
Sn 3.589 0.000 4.341
Sn 5.887 0.000 1.784
Pd 4.059 1.436 0.393
Pd 0.962 0.000 4.582
Pd 4.738 2.137 3.063
Pd 5.417 1.436 5.732
Pd 4.059 -1.436 0.393
Pd 4.738 -2.137 3.063
Pd 8.513 0.000 1.543
Pd 5.417 -1.436 5.732
```


Run 2
The following is a PBE calculation of a geometry-optimized LaSnPd4 structure, from Alexandria.

Total moment, μB/f.u.: 0.00
Crystal system: tetragonal

extended XYZ file:
```
12
Lattice="5.467 0.000 0.000 0.000 5.467 0.000 0.000 0.000 9.079" Properties=species:S:1:pos:R:3 pbc="T T T"
La 1.367 4.100 2.270
La 4.100 1.367 6.809
Sn 1.367 4.100 6.809
Sn 4.100 1.367 2.270
Pd 0.078 1.367 0.111
Pd 1.367 0.078 4.651
Pd 1.367 2.656 4.651
Pd 2.656 1.367 0.111
Pd 2.811 4.100 8.968
Pd 4.100 2.811 4.428
Pd 4.100 5.389 4.428
Pd 5.389 4.100 8.968
```


Winner for stability: run 1


Run 1
The following is a PBE calculation of a geometry-optimized La2Sn3Pd5 structure, from Alexandria.

Total moment, μB/f.u.: 0.00
Crystal system: orthorhombic

extended XYZ file:
```
20
Lattice="-5.713 6.142 3.182 5.713 -6.142 3.182 5.713 6.142 -3.182" Properties=species:S:1:pos:R:3 pbc="T T T"
La 2.589 1.578 0.000
La 2.589 -1.578 3.182
La 3.123 7.720 0.000
La 3.123 4.565 3.182
Sn 4.450 -4.420 3.182
Sn 5.713 0.000 1.591
Sn 4.450 4.420 0.000
Sn 1.262 1.722 3.182
Sn 0.000 6.142 1.591
Sn 1.262 10.563 0.000
Pd 5.713 -2.724 1.591
Pd 7.584 1.279 0.000
Pd 0.000 0.000 1.591
Pd 1.871 4.864 0.000
Pd 5.713 2.724 1.591
Pd 0.000 3.418 1.591
Pd 3.842 1.279 3.182
Pd 0.000 0.000 4.773
Pd -1.871 4.864 3.182
Pd 0.000 8.866 1.591
```


Run 2
The following is a PBE calculation of a geometry-optimized La2Sn3Pd5 structure, from Alexandria.

Total moment, μB/f.u.: 0.00
Crystal system: orthorhombic

extended XYZ file:
```
20
Lattice="2.298 -13.057 0.000 2.298 13.057 0.000 0.000 0.000 7.218" Properties=species:S:1:pos:R:3 pbc="T T T"
La 2.298 12.520 3.609
La 2.298 4.686 3.922
La 2.298 -4.686 0.313
La 2.298 -12.520 0.000
Sn 2.298 10.248 5.941
Sn 2.298 5.679 0.187
Sn 2.298 1.479 4.976
Sn 2.298 -1.479 1.367
Sn 2.298 -5.679 3.796
Sn 2.298 -10.248 2.332
Pd 2.298 10.158 1.688
Pd 2.298 7.574 5.351
Pd 2.298 7.352 2.329
Pd 2.298 3.007 0.063
Pd 2.298 1.220 2.217
Pd 2.298 -1.220 5.826
Pd 2.298 -3.007 3.672
Pd 2.298 -7.352 5.938
Pd 2.298 -7.574 1.742
Pd 2.298 -10.158 5.297
```


Winner for stability: run 1


Run 1
The following is a PBE calculation of a geometry-optimized La3Sn3Pd2 structure, from Alexandria.

Total moment, μB/f.u.: 0.00
Crystal system: orthorhombic

extended XYZ file:
```
16
Lattice="2.363 -5.657 0.000 2.363 5.657 0.000 0.000 0.000 15.945" Properties=species:S:1:pos:R:3 pbc="T T T"
La 2.363 4.637 9.699
La 2.363 4.637 14.219
La 2.363 1.548 11.959
La 2.363 -1.548 3.986
La 2.363 -4.637 1.726
La 2.363 -4.637 6.246
Sn 2.363 1.793 3.986
Sn 2.363 1.375 8.573
Sn 2.363 1.375 15.345
Sn 2.363 -1.375 0.601
Sn 2.363 -1.375 7.372
Sn 2.363 -1.793 11.959
Pd 2.363 3.376 1.655
Pd 2.363 3.376 6.318
Pd 2.363 -3.376 9.628
Pd 2.363 -3.376 14.291
```


Run 2
The following is a PBE calculation of a geometry-optimized La3Sn3Pd2 structure, from Alexandria.

Total moment, μB/f.u.: 0.00
Crystal system: orthorhombic

extended XYZ file:
```
32
Lattice="8.683 0.000 0.000 0.000 16.006 0.000 0.000 0.000 6.152" Properties=species:S:1:pos:R:3 pbc="T T T"
La 0.307 1.744 0.770
La 0.307 6.259 0.770
La 1.514 4.002 3.867
La 2.828 12.005 0.791
La 4.035 9.747 3.846
La 4.035 14.262 3.846
La 4.648 1.744 2.305
La 4.648 6.259 2.305
La 5.855 4.002 5.360
La 7.169 12.005 2.284
La 8.376 9.747 5.381
La 8.376 14.262 5.381
Sn 1.542 12.005 3.802
Sn 1.676 0.600 3.759
Sn 1.676 7.403 3.759
Sn 2.666 8.603 0.683
Sn 2.666 15.406 0.683
Sn 2.800 4.002 0.726
Sn 5.883 12.005 5.425
Sn 6.017 0.600 5.468
Sn 6.017 7.403 5.468
Sn 7.007 8.603 2.393
Sn 7.007 15.406 2.393
Sn 7.141 4.002 2.349
Pd 0.793 9.744 2.325
Pd 0.793 14.265 2.325
Pd 3.548 1.741 5.401
Pd 3.548 6.262 5.401
Pd 5.135 9.744 0.750
Pd 5.135 14.265 0.750
Pd 7.890 1.741 3.826
Pd 7.890 6.262 3.826
```


Winner for stability: run 1


Run 1
The following is a PBE calculation of a geometry-optimized LaSn2Pd4 structure, from Alexandria.

Total moment, μB/f.u.: 0.00
Crystal system: tetragonal

extended XYZ file:
```
14
Lattice="8.144 0.000 0.000 0.000 8.144 0.000 0.000 0.000 4.285" Properties=species:S:1:pos:R:3 pbc="T T T"
La 0.000 0.000 0.000
La 4.072 4.072 2.143
Sn 1.772 1.772 2.143
Sn 2.300 5.844 0.000
Sn 5.844 2.300 0.000
Sn 6.372 6.372 2.143
Pd 0.747 5.304 2.143
Pd 1.232 3.325 0.000
Pd 2.840 7.397 2.143
Pd 3.325 1.232 0.000
Pd 4.820 6.912 0.000
Pd 5.304 0.747 2.143
Pd 6.912 4.820 0.000
Pd 7.397 2.840 2.143
```


Run 2
The following is a PBE calculation of a geometry-optimized LaSn2Pd4 structure, from Alexandria.

Total moment, μB/f.u.: 0.00
Crystal system: orthorhombic

extended XYZ file:
```
28
Lattice="16.988 0.000 0.000 0.000 4.635 0.000 0.000 0.000 7.131" Properties=species:S:1:pos:R:3 pbc="T T T"
La 2.381 1.159 0.787
La 6.113 3.476 4.353
La 10.875 1.159 2.778
La 14.607 3.476 6.343
Sn 0.952 3.476 5.301
Sn 3.501 1.159 4.633
Sn 4.993 3.476 1.068
Sn 7.542 1.159 1.736
Sn 9.446 3.476 5.395
Sn 11.995 1.159 6.063
Sn 13.487 3.476 2.497
Sn 16.036 1.159 1.829
Pd 0.473 3.476 0.872
Pd 0.932 1.159 3.771
Pd 2.812 3.476 3.063
Pd 3.581 3.476 6.011
Pd 4.913 1.159 2.445
Pd 5.682 1.159 6.628
Pd 7.561 3.476 0.206
Pd 8.021 1.159 4.437
Pd 8.967 3.476 2.694
Pd 9.426 1.159 6.925
Pd 11.306 3.476 0.503
Pd 12.075 3.476 4.685
Pd 13.407 1.159 1.120
Pd 14.176 1.159 4.068
Pd 16.055 3.476 3.360
Pd 16.515 1.159 6.259
```


Winner for stability: run 2


Run 1
The following is a PBE calculation of a geometry-optimized La3Sn4Pd2 structure, from Alexandria.

Total moment, μB/f.u.: 0.00
Crystal system: monoclinic

extended XYZ file:
```
9
Lattice="5.907 -2.380 0.000 5.907 2.380 0.000 -2.441 0.000 8.733" Properties=species:S:1:pos:R:3 pbc="T T T"
La 0.000 0.000 0.000
La 3.144 0.000 3.003
La 6.229 0.000 5.730
Sn -0.209 0.000 3.354
Sn 0.963 0.000 8.037
Sn 8.411 0.000 0.696
Sn 9.583 0.000 5.380
Pd 3.008 0.000 6.347
Pd 6.366 0.000 2.386
```


Run 2
The following is a PBE calculation of a geometry-optimized La3Sn4Pd2 structure, from Alexandria.

Total moment, μB/f.u.: 0.00
Crystal system: monoclinic

extended XYZ file:
```
9
Lattice="5.806 -2.379 0.000 5.806 2.379 0.000 -2.553 0.000 8.712" Properties=species:S:1:pos:R:3 pbc="T T T"
La 0.000 0.000 0.000
La 3.488 0.000 2.713
La 5.570 0.000 5.999
Sn -0.026 0.000 3.458
Sn 1.031 0.000 8.069
Sn 8.028 0.000 0.643
Sn 9.084 0.000 5.254
Pd 1.982 0.000 5.500
Pd 7.077 0.000 3.212
```


Winner for stability: run 2


Run 1
The following is a PBE calculation of a geometry-optimized La3Sn2Pd7 structure, from Alexandria.

Total moment, μB/f.u.: 0.00
Crystal system: tetragonal

extended XYZ file:
```
12
Lattice="-2.117 2.117 14.724 2.117 -2.117 14.724 2.117 2.117 -14.724" Properties=species:S:1:pos:R:3 pbc="T T T"
La 0.000 0.000 0.000
La 0.000 0.000 5.274
La 0.000 0.000 24.174
Sn 0.000 0.000 11.007
Sn 0.000 0.000 18.442
Pd 2.117 0.000 2.134
Pd 0.000 0.000 8.252
Pd 2.117 0.000 12.590
Pd 0.000 0.000 14.724
Pd 0.000 2.117 2.134
Pd 0.000 0.000 21.197
Pd 0.000 2.117 12.590
```


Run 2
The following is a PBE calculation of a geometry-optimized La3Sn2Pd7 structure, from Alexandria.

Total moment, μB/f.u.: 0.00
Crystal system: monoclinic

extended XYZ file:
```
12
Lattice="4.324 0.000 0.000 0.000 4.106 0.000 -1.935 0.000 15.516" Properties=species:S:1:pos:R:3 pbc="T T T"
La 0.000 0.000 0.000
La 0.115 0.000 6.301
La 2.273 0.000 9.215
Sn 0.093 2.053 12.915
Sn 2.295 2.053 2.601
Pd 0.132 2.053 4.199
Pd 0.111 2.053 8.980
Pd 0.100 0.000 11.193
Pd 2.162 2.053 0.000
Pd 2.289 0.000 4.323
Pd 2.278 2.053 6.536
Pd 2.257 2.053 11.317
```


Winner for stability: run 1